Compound: NdMoAs2O8
Source: Alexandria via LeMat-Bulk
Functional: GGA+U
Structure: optimized geometry

Geometry as CIF:
```
data_NdMoAs2O8
_symmetry_space_group_name_H-M 'P 1'
_symmetry_Int_Tables_number 1
_cell_length_a 5.4773
_cell_length_b 5.4773
_cell_length_c 7.0342
_cell_angle_alpha 90.00
_cell_angle_beta 90.00
_cell_angle_gamma 120.00
loop_
_symmetry_equiv_pos_as_xyz
'x,y,z'
loop_
_atom_site_label
_atom_site_type_symbol
_atom_site_fract_x
_atom_site_fract_y
_atom_site_fract_z
Nd1 Nd 0.0000 0.0000 0.0000
Mo1 Mo 0.0000 0.0000 0.5000
As1 As 0.3333 0.6667 0.2143
As2 As 0.6667 0.3333 0.7857
O1 O 0.1602 0.3204 0.2858
O2 O 0.1602 0.8398 0.2858
O3 O 0.3204 0.1602 0.7142
O4 O 0.3333 0.6667 0.9741
O5 O 0.6667 0.3333 0.0259
O6 O 0.6796 0.8398 0.2858
O7 O 0.8398 0.1602 0.7142
O8 O 0.8398 0.6796 0.7142
```

## Properties
As for the space-group type: P-3m1, No. 164. The total energy is -6.835 eV per atom.